18
Lattice="5.713 0.000 0.000 -2.857 4.948 0.000 0.000 0.000 8.771" Properties=species:S:1:pos:R:3 comment="PuNpCoO6 PBE+U relaxed" space_group="P-31c (163)" magmom_total_mub_per_fu=7.45 energy_ev_per_atom=-9.102 pbc="T T T"
Pu 0.000 3.299 2.193
Pu 2.857 1.649 6.579
Np 0.000 3.299 6.579
Np 2.857 1.649 2.193
Co 0.000 0.000 0.000
Co 0.000 0.000 4.386
O -0.928 1.727 5.542
O -1.824 3.281 7.615
O 0.928 1.727 7.615
O -0.897 4.887 5.542
O 1.960 0.060 1.156
O 1.032 1.667 3.230
O 1.824 3.281 5.542
O 0.897 4.887 7.615
O 3.753 0.060 3.230
O 1.929 3.220 1.156
O 4.681 1.667 1.156
O 3.784 3.220 3.230